[1]
# Sn2TeIr2

Crystalline Sn2TeIr2 at its relaxed geometry (GGA-PBE, Alexandria).

Results
Space-group type: P4/mbm, No. 127
Raw formation energy: 0.01 eV per atom
VASP energy: -57.6 eV for the cell shown

a b c (Å): 7.992 7.992 3.087
angles (deg): 90.00 90.00 90.00
Element x y z (fractional)
Sn 0.149 0.351 0.000
Sn 0.351 0.851 0.000
Sn 0.649 0.149 0.000
Sn 0.851 0.649 0.000
Te 0.000 0.000 0.500
Te 0.500 0.500 0.500
Ir 0.144 0.644 0.500
Ir 0.356 0.144 0.500
Ir 0.644 0.856 0.500
Ir 0.856 0.356 0.500


[2]
# SnTe5Ir3

Crystalline SnTe5Ir3 at its relaxed geometry (GGA-PBE, Alexandria).

Results
Space-group type: P2/m, No. 10
Raw formation energy: -0.31 eV per atom
VASP energy: -98.1 eV for the cell shown

a b c (Å): 6.488 4.114 16.296
angles (deg): 90.00 91.01 90.00
Element x y z (fractional)
Sn 0.145 0.000 0.244
Sn 0.855 0.000 0.756
Te 0.119 0.000 0.905
Te 0.133 0.000 0.573
Te 0.359 0.500 0.744
Te 0.368 0.500 0.075
Te 0.370 0.500 0.405
Te 0.630 0.500 0.595
Te 0.632 0.500 0.925
Te 0.641 0.500 0.256
Te 0.867 0.000 0.427
Te 0.881 0.000 0.095
Ir 0.000 0.500 0.000
Ir 0.001 0.500 0.335
Ir 0.493 0.000 0.837
Ir 0.500 0.000 0.500
Ir 0.507 0.000 0.163
Ir 0.999 0.500 0.665


[3]
# SnTeIr3

Crystalline SnTeIr3 at its relaxed geometry (GGA-PBE, Alexandria).

Results
Space-group type: Pm-3m, No. 221
Raw formation energy: 1.38 eV per atom
Relative energy among the computed polymorphs: 0.00 kJ per mole of atoms
VASP energy: -26.8 eV for the cell shown

a b c (Å): 4.903 4.903 4.903
angles (deg): 90.00 90.00 90.00
Element x y z (fractional)
Sn 0.000 0.000 0.000
Te 0.500 0.500 0.500
Ir 0.000 0.500 0.500
Ir 0.500 0.000 0.500
Ir 0.500 0.500 0.000


[4]
# SnTe4Ir

Crystalline SnTe4Ir at its relaxed geometry (GGA-PBE, Alexandria).

Results
Space-group type: P-1, No. 2
Raw formation energy: -0.21 eV per atom
VASP energy: -26.7 eV for the cell shown

a b c (Å): 4.124 6.946 7.239
angles (deg): 61.98 73.86 73.19
Element x y z (fractional)
Sn 0.000 0.000 0.000
Te 0.120 0.511 0.244
Te 0.365 0.945 0.331
Te 0.635 0.055 0.669
Te 0.880 0.489 0.756
Ir 0.500 0.500 0.500


[5]
# SnTeIr2

Crystalline SnTeIr2 at its relaxed geometry (GGA-PBE, Alexandria).

Results
Space-group type: Fm-3m, No. 225
Raw formation energy: 0.36 eV per atom
Relative energy among the computed polymorphs: 4.62 kJ per mole of atoms
VASP energy: -23.4 eV for the cell shown

a b c (Å): 4.711 4.711 4.711
angles (deg): 60.00 60.00 60.00
Element x y z (fractional)
Sn 0.000 0.000 0.000
Te 0.500 0.500 0.500
Ir 0.250 0.250 0.250
Ir 0.750 0.750 0.750


[6]
# SnTeIr2

Crystalline SnTeIr2 at its relaxed geometry (GGA-PBE, Alexandria).

Results
Space-group type: I-42d, No. 122
Raw formation energy: 0.32 eV per atom
Relative energy among the computed polymorphs: 0.00 kJ per mole of atoms
VASP energy: -47.2 eV for the cell shown

a b c (Å): 7.443 7.443 7.443
angles (deg): 134.15 134.15 66.86
Element x y z (fractional)
Sn 0.000 0.000 0.000
Sn 0.750 0.250 0.500
Te 0.250 0.750 0.500
Te 0.500 0.500 0.000
Ir 0.137 0.625 0.012
Ir 0.375 0.387 0.512
Ir 0.613 0.125 0.988
Ir 0.875 0.863 0.488


[7]
# Th4SnTe2Ir

Crystalline Th4SnTe2Ir at its relaxed geometry (GGA-PBE, Alexandria).

Results
Space-group type: P2/m, No. 10
Raw formation energy: -0.93 eV per atom
VASP energy: -56.3 eV for the cell shown

a b c (Å): 7.831 4.278 7.857
angles (deg): 90.00 107.92 90.00
Element x y z (fractional)
Th 0.207 0.000 0.213
Th 0.227 0.500 0.763
Th 0.773 0.500 0.237
Th 0.793 0.000 0.787
Sn 0.000 0.000 0.500
Te 0.500 0.000 0.000
Te 0.500 0.500 0.500
Ir 0.000 0.500 0.000


[8]
# TiSnTeIr2

Crystalline TiSnTeIr2 at its relaxed geometry (GGA-PBE, Alexandria).

Results
Space-group type: P4/mmm, No. 123
Raw formation energy: 0.83 eV per atom
VASP energy: -28.6 eV for the cell shown

a b c (Å): 4.674 4.674 5.236
angles (deg): 90.00 90.00 90.00
Element x y z (fractional)
Ti 0.000 0.000 0.000
Sn 0.000 0.000 0.500
Te 0.500 0.500 0.500
Ir 0.000 0.500 0.000
Ir 0.500 0.000 0.000